No. 1
VASP calculation (PBE-GGA) on a relaxed structure of CrInBi3.

Calculated values
final energy: -0.1609 hartree per atom
crystal system: cubic
SG: Pm-3m, No. 221
formation energy from the elements: 424 meV per atom
density of states at the Fermi level: 4.052 states/eV/cell
theoretical density: 8.67 g/cm³

abc: 5.337 5.337 5.337
angles: 90.00 90.00 90.00
Element x y z (fractional)
Cr 0.000 0.000 0.000
In 0.500 0.500 0.500
Bi 0.000 0.000 0.500
Bi 0.000 0.500 0.000
Bi 0.500 0.000 0.000

---

No. 2
VASP calculation (PBE-GGA) on a relaxed structure of CoReSi2.

Calculated values
final energy: -0.2849 hartree per atom
crystal system: orthorhombic
SG: Pmmm, No. 47
density of states at the Fermi level: 3.000 states/eV/cell
E_form (uncorrected): -0.6 eV per formula unit
theoretical density: 9.74 g/cm³

abc: 2.799 3.725 4.924
angles: 90.00 90.00 90.00
Element x y z (fractional)
Co 0.000 0.000 0.000
Re 0.500 0.000 0.500
Si 0.000 0.500 0.253
Si 0.000 0.500 0.747

---

No. 3
VASP calculation (PBE-GGA) on a relaxed structure of NpCdNiRh.

Calculated values
final energy: -0.2499 hartree per atom
crystal system: cubic
SG: F-43m, No. 216
formation energy from the elements: -53 meV per atom
density of states at the Fermi level: 7.815 states/eV/cell
theoretical density: 11.80 g/cm³

abc: 4.667 4.667 4.667
angles: 60.00 60.00 60.00
Element x y z (fractional)
Np 0.000 0.000 0.000
Cd 0.500 0.500 0.500
Ni 0.250 0.250 0.250
Rh 0.750 0.750 0.750

---

No. 4
VASP calculation (PBE-GGA) on a relaxed structure of NaPuMgO4.

Calculated values
final energy: -0.2876 hartree per atom
crystal system: orthorhombic
SG: Imma, No. 74
density of states at the Fermi level: 11.483 states/eV/cell
E_form (uncorrected): -17.7 eV per formula unit
theoretical density: 5.97 g/cm³

abc: 6.476 6.476 6.476
angles: 120.18 115.42 93.90
Element x y z (fractional)
Na 0.387 0.137 0.250
Na 0.613 0.863 0.750
Pu 0.000 0.500 0.500
Pu 0.500 0.500 0.000
Mg 0.000 0.000 0.500
Mg 0.000 0.500 0.000
O 0.187 0.729 0.458
O 0.229 0.271 0.958
O 0.242 0.280 0.537
O 0.242 0.705 0.963
O 0.758 0.295 0.037
O 0.758 0.720 0.463
O 0.771 0.729 0.042
O 0.813 0.271 0.542

---

No. 5
VASP calculation (PBE-GGA) on a relaxed structure of CeZrTcRh.

Calculated values
final energy: -0.3111 hartree per atom
crystal system: cubic
SG: F-43m, No. 216
formation energy from the elements: -416 meV per atom
density of states at the Fermi level: 3.572 states/eV/cell
theoretical density: 9.32 g/cm³

abc: 4.776 4.776 4.776
angles: 60.00 60.00 60.00
Element x y z (fractional)
Ce 0.000 0.000 0.000
Zr 0.500 0.500 0.500
Tc 0.750 0.750 0.750
Rh 0.250 0.250 0.250

---

No. 6
VASP calculation (PBE-GGA) on a relaxed structure of ReHg2Pb.

Calculated values
final energy: -0.1181 hartree per atom
crystal system: tetragonal
SG: I-42d, No. 122
formation energy from the elements: 978 meV per atom
density of states at the Fermi level: 4.174 states/eV/cell
theoretical density: 14.35 g/cm³

abc: 11.027 11.027 11.027
angles: 158.26 158.26 30.94
Element x y z (fractional)
Re 0.000 0.000 0.000
Re 0.750 0.250 0.500
Hg 0.100 0.625 0.975
Hg 0.375 0.350 0.475
Hg 0.650 0.125 0.025
Hg 0.875 0.900 0.525
Pb 0.250 0.750 0.500
Pb 0.500 0.500 0.000

---

No. 7
VASP calculation (PBE-GGA) on a relaxed structure of PmErTlZn.

Calculated values
final energy: -0.1319 hartree per atom
crystal system: tetragonal
SG: P4mm, No. 99
formation energy from the elements: -350 meV per atom
density of states at the Fermi level: 3.420 states/eV/cell
theoretical density: 9.44 g/cm³

abc: 3.690 3.690 7.522
angles: 90.00 90.00 90.00
Element x y z (fractional)
Pm 0.000 0.000 0.000
Er 0.000 0.000 0.544
Tl 0.500 0.500 0.284
Zn 0.500 0.500 0.755

---

No. 8
VASP calculation (PBE-GGA) on a relaxed structure of ZrTlH2Cl8.

Calculated values
final energy: -0.1388 hartree per atom
crystal system: triclinic
SG: P-1, No. 2
density of states at the Fermi level: 3.426 states/eV/cell
theoretical density: 2.53 g/cm³

abc: 6.763 7.121 7.932
angles: 87.96 88.58 88.96
Element x y z (fractional)
Zr 0.000 0.000 0.000
Tl 0.000 0.000 0.500
H 0.250 0.310 0.705
H 0.750 0.690 0.295
Cl 0.196 0.830 0.778
Cl 0.218 0.274 0.957
Cl 0.224 0.866 0.223
Cl 0.266 0.327 0.536
Cl 0.734 0.673 0.464
Cl 0.776 0.134 0.777
Cl 0.782 0.726 0.043
Cl 0.804 0.170 0.222

---

No. 9
VASP calculation (PBE-GGA) on a relaxed structure of TiCrPd.

Calculated values
final energy: -0.2757 hartree per atom
crystal system: orthorhombic
SG: Cmcm, No. 63
formation energy from the elements: 69 meV per atom
density of states at the Fermi level: 7.270 states/eV/cell
theoretical density: 7.83 g/cm³

abc: 8.409 8.409 4.009
angles: 90.00 90.00 162.02
Element x y z (fractional)
Ti 0.055 0.945 0.750
Ti 0.945 0.055 0.250
Cr 0.220 0.780 0.750
Cr 0.780 0.220 0.250
Pd 0.374 0.626 0.750
Pd 0.626 0.374 0.250

---

No. 10
VASP calculation (PBE-GGA) on a relaxed structure of In3Ag6Sn.

Calculated values
final energy: -0.1065 hartree per atom
crystal system: monoclinic
SG: P2_1/c, No. 14
formation energy from the elements: 34 meV per atom
density of states at the Fermi level: 5.835 states/eV/cell
theoretical density: 8.66 g/cm³

abc: 4.880 10.064 9.947
angles: 90.00 119.36 90.00
Element x y z (fractional)
In 0.000 0.000 0.000
In 0.000 0.500 0.500
In 0.243 0.044 0.742
In 0.243 0.456 0.242
In 0.757 0.544 0.758
In 0.757 0.956 0.258
Ag 0.075 0.707 0.071
Ag 0.075 0.793 0.571
Ag 0.243 0.180 0.248
Ag 0.243 0.320 0.748
Ag 0.442 0.693 0.438
Ag 0.442 0.807 0.938
Ag 0.558 0.193 0.062
Ag 0.558 0.307 0.562
Ag 0.757 0.680 0.252
Ag 0.757 0.820 0.752
Ag 0.925 0.207 0.429
Ag 0.925 0.293 0.929
Sn 0.500 0.000 0.500
Sn 0.500 0.500 0.000

---

No. 11
VASP calculation (PBE-GGA) on a relaxed structure of TaFe2Co.

Calculated values
final energy: -0.3325 hartree per atom
crystal system: tetragonal
SG: I4/mmm, No. 139
formation energy from the elements: -76 meV per atom
density of states at the Fermi level: 3.076 states/eV/cell
theoretical density: 11.34 g/cm³

abc: 4.774 4.774 4.774
angles: 136.18 136.18 63.70
Element x y z (fractional)
Ta 0.000 0.000 0.000
Fe 0.250 0.750 0.500
Fe 0.750 0.250 0.500
Co 0.500 0.500 0.000

---

No. 12
VASP calculation (PBE-GGA) on a relaxed structure of Ta3GeMo.

Calculated values
final energy: -0.3288 hartree per atom
crystal system: cubic
SG: Pm-3m, No. 221
formation energy from the elements: 1255 meV per atom
density of states at the Fermi level: 6.523 states/eV/cell
theoretical density: 11.50 g/cm³

abc: 4.683 4.683 4.683
angles: 90.00 90.00 90.00
Element x y z (fractional)
Ta 0.000 0.000 0.500
Ta 0.000 0.500 0.000
Ta 0.500 0.000 0.000
Ge 0.000 0.000 0.000
Mo 0.500 0.500 0.500

---

No. 13
VASP calculation (PBE-GGA) on a relaxed structure of AcTlSn4.

Calculated values
final energy: -0.1482 hartree per atom
crystal system: orthorhombic
SG: Cmcm, No. 63
formation energy from the elements: -285 meV per atom
density of states at the Fermi level: 6.566 states/eV/cell
theoretical density: 8.33 g/cm³

abc: 9.628 9.628 5.718
angles: 90.00 90.00 137.02
Element x y z (fractional)
Ac 0.113 0.887 0.750
Ac 0.887 0.113 0.250
Tl 0.380 0.620 0.250
Tl 0.620 0.380 0.750
Sn 0.002 0.438 0.750
Sn 0.236 0.336 0.750
Sn 0.336 0.236 0.250
Sn 0.438 0.002 0.250
Sn 0.562 0.998 0.750
Sn 0.664 0.764 0.750
Sn 0.764 0.664 0.250
Sn 0.998 0.562 0.250

---

No. 14
VASP calculation (PBE-GGA) on a relaxed structure of DyGaRe.

Calculated values
final energy: -0.2500 hartree per atom
crystal system: monoclinic
SG: C2/m, No. 12
formation energy from the elements: -110 meV per atom
density of states at the Fermi level: 3.624 states/eV/cell
theoretical density: 10.20 g/cm³

abc: 5.532 5.532 6.174
angles: 97.32 97.32 46.71
Element x y z (fractional)
Dy 0.106 0.106 0.273
Dy 0.894 0.894 0.727
Ga 0.184 0.184 0.777
Ga 0.816 0.816 0.223
Re 0.395 0.395 0.063
Re 0.605 0.605 0.937

---

No. 15
VASP calculation (PBE-GGA) on a relaxed structure of AlSi2Ru2.

Calculated values
final energy: -0.2592 hartree per atom
crystal system: tetragonal
SG: P4/mbm, No. 127
density of states at the Fermi level: 4.613 states/eV/cell
E_form (uncorrected): -2.1 eV per formula unit
theoretical density: 6.76 g/cm³

abc: 6.906 6.906 2.940
angles: 90.00 90.00 90.00
Element x y z (fractional)
Al 0.000 0.000 0.000
Al 0.500 0.500 0.000
Si 0.144 0.356 0.500
Si 0.356 0.856 0.500
Si 0.644 0.144 0.500
Si 0.856 0.644 0.500
Ru 0.152 0.652 0.000
Ru 0.348 0.152 0.000
Ru 0.652 0.848 0.000
Ru 0.848 0.348 0.000

---

No. 16
VASP calculation (PBE-GGA) on a relaxed structure of CdBRh3.

Calculated values
final energy: -0.2017 hartree per atom
crystal system: tetragonal
SG: P4mm, No. 99
formation energy from the elements: 440 meV per atom
density of states at the Fermi level: 6.319 states/eV/cell
theoretical density: 7.76 g/cm³

abc: 3.704 3.704 6.736
angles: 90.00 90.00 90.00
Element x y z (fractional)
Cd 0.000 0.000 0.000
B 0.500 0.500 0.520
Rh 0.000 0.000 0.394
Rh 0.000 0.500 0.675
Rh 0.500 0.000 0.675

---

No. 17
VASP calculation (PBE-GGA) on a relaxed structure of BaCa2IrAu.

Calculated values
final energy: -0.0730 hartree per atom
crystal system: tetragonal
SG: P4/mmm, No. 123
formation energy from the elements: 1626 meV per atom
density of states at the Fermi level: 6.257 states/eV/cell
theoretical density: 5.28 g/cm³

abc: 5.947 5.947 5.398
angles: 90.00 90.00 90.00
Element x y z (fractional)
Ba 0.000 0.000 0.000
Ca 0.000 0.500 0.000
Ca 0.500 0.000 0.000
Ir 0.500 0.500 0.500
Au 0.000 0.000 0.500

---

No. 18
VASP calculation (PBE-GGA) on a relaxed structure of TaMn2Ni.

Calculated values
final energy: -0.3262 hartree per atom
crystal system: monoclinic
SG: C2/m, No. 12
formation energy from the elements: 117 meV per atom
density of states at the Fermi level: 4.760 states/eV/cell
theoretical density: 10.82 g/cm³

abc: 4.958 4.958 2.668
angles: 102.10 102.10 116.81
Element x y z (fractional)
Ta 0.000 0.000 0.000
Mn 0.000 0.500 0.500
Mn 0.500 0.000 0.500
Ni 0.500 0.500 0.000

---

No. 19
VASP calculation (PBE-GGA) on a relaxed structure of RbCuHg2Pt.

Calculated values
final energy: -0.0883 hartree per atom
crystal system: tetragonal
SG: P4/mmm, No. 123
formation energy from the elements: -60 meV per atom
density of states at the Fermi level: 0.971 states/eV/cell
theoretical density: 8.58 g/cm³

abc: 5.374 5.374 4.993
angles: 90.00 90.00 90.00
Element x y z (fractional)
Rb 0.000 0.000 0.000
Cu 0.500 0.500 0.000
Hg 0.000 0.500 0.500
Hg 0.500 0.000 0.500
Pt 0.500 0.500 0.500

---

No. 20
VASP calculation (PBE-GGA) on a relaxed structure of Pm4SnSe2.

Calculated values
final energy: -0.2028 hartree per atom
crystal system: monoclinic
SG: C2/c, No. 15
density of states at the Fermi level: 11.152 states/eV/cell
E_form (uncorrected): -8.7 eV per formula unit
theoretical density: 6.76 g/cm³

abc: 8.172 8.172 9.533
angles: 125.60 125.60 69.00
Element x y z (fractional)
Pm 0.193 0.806 0.932
Pm 0.194 0.807 0.568
Pm 0.261 0.372 0.067
Pm 0.372 0.261 0.567
Pm 0.628 0.739 0.433
Pm 0.739 0.628 0.933
Pm 0.806 0.193 0.432
Pm 0.807 0.194 0.068
Sn 0.126 0.874 0.250
Sn 0.874 0.126 0.750
Se 0.000 0.500 0.500
Se 0.500 0.000 0.000
Se 0.500 0.500 0.000
Se 0.500 0.500 0.500

---

No. 21
VASP calculation (PBE-GGA) on a relaxed structure of Pu2InBiRh.

Calculated values
final energy: -0.3171 hartree per atom
crystal system: tetragonal
SG: P4/nmm, No. 129
formation energy from the elements: -102 meV per atom
density of states at the Fermi level: 44.704 states/eV/cell
theoretical density: 11.33 g/cm³

abc: 4.323 4.323 14.343
angles: 90.00 90.00 90.00
Element x y z (fractional)
Pu 0.250 0.250 0.090
Pu 0.250 0.250 0.708
Pu 0.750 0.750 0.292
Pu 0.750 0.750 0.910
In 0.250 0.750 0.500
In 0.750 0.250 0.500
Bi 0.250 0.250 0.312
Bi 0.750 0.750 0.688
Rh 0.250 0.250 0.902
Rh 0.750 0.750 0.098

---

No. 22
VASP calculation (PBE-GGA) on a relaxed structure of BaCdBr2.

Calculated values
final energy: -0.1031 hartree per atom
crystal system: tetragonal
SG: P4mm, No. 99
E_form (uncorrected): -5.0 eV per formula unit
theoretical density: 4.85 g/cm³

abc: 4.580 4.580 6.682
angles: 90.00 90.00 90.00
Element x y z (fractional)
Ba 0.000 0.000 0.000
Cd 0.500 0.500 0.647
Br 0.000 0.000 0.499
Br 0.500 0.500 0.179

---

No. 23
VASP calculation (PBE-GGA) on a relaxed structure of Pm2NdGe6.

Calculated values
final energy: -0.1926 hartree per atom
crystal system: hexagonal
SG: P6/mmm, No. 191
formation energy from the elements: -576 meV per atom
density of states at the Fermi level: 3.817 states/eV/cell
theoretical density: 7.00 g/cm³

abc: 7.685 7.685 4.035
angles: 90.00 90.00 120.00
Element x y z (fractional)
Pm 0.333 0.667 0.000
Pm 0.667 0.333 0.000
Nd 0.000 0.000 0.000
Ge 0.000 0.334 0.500
Ge 0.000 0.666 0.500
Ge 0.334 0.000 0.500
Ge 0.334 0.334 0.500
Ge 0.666 0.000 0.500
Ge 0.666 0.666 0.500

---

No. 24
VASP calculation (PBE-GGA) on a relaxed structure of K2SeCl.

Calculated values
final energy: -0.0987 hartree per atom
crystal system: cubic
SG: F-43m, No. 216
density of states at the Fermi level: 4.585 states/eV/cell
E_form (uncorrected): -3.2 eV per formula unit
theoretical density: 2.59 g/cm³

abc: 5.586 5.586 5.586
angles: 60.00 60.00 60.00
Element x y z (fractional)
K 0.000 0.000 0.000
K 0.250 0.250 0.250
Se 0.750 0.750 0.750
Cl 0.500 0.500 0.500

---

No. 25
VASP calculation (PBE-GGA) on a relaxed structure of AgAsAu.

Calculated values
final energy: -0.1267 hartree per atom
crystal system: orthorhombic
SG: Amm2, No. 38
formation energy from the elements: 144 meV per atom
density of states at the Fermi level: 2.079 states/eV/cell
theoretical density: 11.24 g/cm³

abc: 14.891 2.950 2.950
angles: 59.99 90.00 90.00
Element x y z (fractional)
Ag 0.162 0.000 0.000
Ag 0.838 0.000 0.000
As 0.322 0.669 0.669
As 0.678 0.669 0.669
Au 0.000 0.666 0.666
Au 0.500 0.670 0.670

---

No. 26
VASP calculation (PBE-GGA) on a relaxed structure of SrFeSi2.

Calculated values
final energy: -0.1742 hartree per atom
crystal system: tetragonal
SG: I-4m2, No. 119
density of states at the Fermi level: 3.693 states/eV/cell
E_form (uncorrected): 2.0 eV per formula unit
theoretical density: 4.23 g/cm³

abc: 5.339 5.339 5.339
angles: 133.64 133.64 67.66
Element x y z (fractional)
Sr 0.000 0.000 0.000
Fe 0.250 0.750 0.500
Si 0.500 0.500 0.000
Si 0.750 0.250 0.500